(1)
Compound: ZrNbTc2B
Source: the Alexandria database
Functional: PBE
Structure: relaxed

Lattice parameters (Å, degrees): 4.7852 4.7852 4.1509 90.00 90.00 90.00
Sites, in units of the cell vectors:
Zr 0.0000 0.0000 0.0000
Nb 0.5000 0.5000 0.5000
Tc 0.0000 0.5000 0.5000
Tc 0.5000 0.0000 0.5000
B 0.5000 0.5000 0.0000

## Properties
Magnetization (μB per formula unit): 0.00
DOS(E_F) (states/eV/cell): 4.132
V (Å³ per cell): 95.0
Formation enthalpy at 0 K (eV/atom): 1.29



(2)
Compound: Zr2NbTcB
Source: the Alexandria database
Functional: PBE
Structure: relaxed

Lattice parameters (Å, degrees): 5.0732 5.0732 4.0818 90.00 90.00 90.00
Sites, in units of the cell vectors:
Zr 0.0000 0.5000 0.0000
Zr 0.5000 0.0000 0.0000
Nb 0.0000 0.0000 0.0000
Tc 0.5000 0.5000 0.5000
B 0.0000 0.0000 0.5000

## Properties
Magnetization (μB per formula unit): 1.65
DOS(E_F) (states/eV/cell): 4.349
V (Å³ per cell): 105.1
Formation enthalpy at 0 K (eV/atom): 1.41



(3)
Compound: NbBTe2
Source: the Alexandria database
Functional: PBE
Structure: relaxed

Lattice parameters (Å, degrees): 6.6045 6.6045 6.6045 124.66 124.66 82.11
Sites, in units of the cell vectors:
Nb 0.0000 0.0000 0.0000
Nb 0.7500 0.2500 0.5000
B 0.2500 0.7500 0.5000
B 0.5000 0.5000 0.0000
Te 0.1870 0.6250 0.0620
Te 0.3750 0.4370 0.5620
Te 0.5630 0.1250 0.9380
Te 0.8750 0.8130 0.4380

## Properties
DFT total energy (eV/atom): -5.110
Magnetization (μB per formula unit): 0.54
DOS(E_F) (states/eV/cell): 6.468
V (Å³ per cell): 187.4



(4)
Compound: NbBTe3
Source: the Alexandria database
Functional: PBE
Structure: relaxed

Lattice parameters (Å, degrees): 5.4254 5.4254 5.4254 90.00 90.00 90.00
Sites, in units of the cell vectors:
Nb 0.0000 0.0000 0.0000
B 0.5000 0.5000 0.5000
Te 0.0000 0.0000 0.5000
Te 0.0000 0.5000 0.0000
Te 0.5000 0.0000 0.0000

## Properties
DFT total energy (eV/atom): -4.152
Magnetization (μB per formula unit): 0.00
DOS(E_F) (states/eV/cell): 6.242
V (Å³ per cell): 159.7



(5)
Compound: NbBTe2
Source: the Alexandria database
Functional: PBE
Structure: relaxed

Lattice parameters (Å, degrees): 8.6289 8.6289 8.6289 22.67 22.67 22.67
Sites, in units of the cell vectors:
Nb 0.0000 0.0000 0.0000
B 0.5000 0.5000 0.5000
Te 0.1081 0.1081 0.1081
Te 0.8919 0.8919 0.8919

## Properties
DFT total energy (eV/atom): -4.836
Magnetization (μB per formula unit): 0.00
DOS(E_F) (states/eV/cell): 4.521
V (Å³ per cell): 83.7



(6)
Compound: Nb4BTe5
Source: the Alexandria database
Functional: PBE
Structure: relaxed

Lattice parameters (Å, degrees): 8.6285 8.6285 7.8596 102.86 102.86 23.88
Sites, in units of the cell vectors:
Nb 0.0041 0.0041 0.3107
Nb 0.3654 0.3654 0.4296
Nb 0.6346 0.6346 0.5704
Nb 0.9959 0.9959 0.6893
B 0.5000 0.5000 0.5000
Te 0.1602 0.1602 0.8499
Te 0.1743 0.1743 0.3257
Te 0.5000 0.5000 0.0000
Te 0.8257 0.8257 0.6743
Te 0.8398 0.8398 0.1501

## Properties
DFT total energy (eV/atom): -6.762
Magnetization (μB per formula unit): 0.00
DOS(E_F) (states/eV/cell): 2.542
V (Å³ per cell): 230.7



(7)
Compound: NbBTe3
Source: the Alexandria database
Functional: PBE
Structure: relaxed

Lattice parameters (Å, degrees): 4.7704 4.7704 4.7704 90.00 90.00 90.00
Sites, in units of the cell vectors:
Nb 0.0000 0.0000 0.0000
B 0.5000 0.5000 0.5000
Te 0.0000 0.5000 0.5000
Te 0.5000 0.0000 0.5000
Te 0.5000 0.5000 0.0000

## Properties
DFT total energy (eV/atom): -4.325
Magnetization (μB per formula unit): 0.00
DOS(E_F) (states/eV/cell): 5.812
V (Å³ per cell): 108.6



(8)
Compound: NbBTe2
Source: the Alexandria database
Functional: PBE
Structure: relaxed

Lattice parameters (Å, degrees): 8.1943 8.1943 8.1943 25.69 25.69 25.69
Sites, in units of the cell vectors:
Nb 0.0000 0.0000 0.0000
B 0.5000 0.5000 0.5000
Te 0.4117 0.4117 0.4117
Te 0.5883 0.5883 0.5883

## Properties
DFT total energy (eV/atom): -5.069
Magnetization (μB per formula unit): 0.00
DOS(E_F) (states/eV/cell): 1.246
V (Å³ per cell): 91.0



(9)
Compound: Ti2NbBTe
Source: the Alexandria database
Functional: PBE
Structure: relaxed

Lattice parameters (Å, degrees): 4.9297 4.9297 5.0767 90.00 90.00 90.00
Sites, in units of the cell vectors:
Ti 0.0000 0.5000 0.0000
Ti 0.5000 0.0000 0.0000
Nb 0.0000 0.0000 0.5000
B 0.5000 0.5000 0.5000
Te 0.0000 0.0000 0.0000

## Properties
DFT total energy (eV/atom): -5.295
Magnetization (μB per formula unit): 2.62
DOS(E_F) (states/eV/cell): 9.338
V (Å³ per cell): 123.4



(10)
Compound: NbZnB2Te
Source: the Alexandria database
Functional: PBE
Structure: relaxed

Lattice parameters (Å, degrees): 4.3048 4.3048 5.5402 90.00 90.00 90.00
Sites, in units of the cell vectors:
Nb 0.0000 0.0000 0.0000
Zn 0.5000 0.5000 0.5000
B 0.0000 0.5000 0.0000
B 0.5000 0.0000 0.0000
Te 0.0000 0.0000 0.5000

## Properties
DFT total energy (eV/atom): -4.438
Magnetization (μB per formula unit): 0.00
DOS(E_F) (states/eV/cell): 2.539
V (Å³ per cell): 102.7



(11)
Compound: ThNbB
Source: the Alexandria database
Functional: PBE
Structure: relaxed

Lattice parameters (Å, degrees): 6.5115 6.5115 6.5115 56.37 56.37 56.37
Sites, in units of the cell vectors:
Th 0.0028 0.6612 0.3360
Th 0.3360 0.0028 0.6612
Th 0.6612 0.3360 0.0028
Nb 0.1586 0.5038 0.8363
Nb 0.5038 0.8363 0.1586
Nb 0.8363 0.1586 0.5038
B 0.1052 0.1052 0.1052
B 0.5590 0.5590 0.5590
B 0.7697 0.7697 0.7697

## Properties
Magnetization (μB per formula unit): 0.00
DOS(E_F) (states/eV/cell): 11.302
V (Å³ per cell): 178.8
Formation enthalpy at 0 K (eV/atom): 0.07



(12)
Compound: ThNbB2
Source: the Alexandria database
Functional: PBE
Structure: relaxed

Lattice parameters (Å, degrees): 6.4922 6.4922 6.4922 31.15 31.15 31.15
Sites, in units of the cell vectors:
Th 0.0000 0.0000 0.0000
Nb 0.5000 0.5000 0.5000
B 0.2334 0.2334 0.2334
B 0.7665 0.7665 0.7665

## Properties
Magnetization (μB per formula unit): 0.00
DOS(E_F) (states/eV/cell): 2.998
V (Å³ per cell): 65.0
Formation enthalpy at 0 K (eV/atom): -0.11